(1)
A relaxed Al2AgO4 crystal. Source: OQMD, functional PBE-GGA.

Computed properties:
Uncorrected energy ... -6.32 eV/atom

a = 8.3830 Å, b = 8.3830 Å, c = 8.3830 Å
α = 90.00°, β = 90.00°, γ = 90.00°
Space group Fd-3m (No. 227, origin choice 2)
One atom of each set of equivalent atoms:
Al 0.0000 0.0000 0.0000
Ag 0.1250 0.1250 0.6250
O 0.0211 0.0211 0.2289


(2)
A relaxed BaErAuSeS2 crystal. Source: OQMD, functional PBE-GGA.

Computed properties:
Uncorrected energy ... -5.11 eV/atom

a = 4.1265 Å, b = 14.1190 Å, c = 10.5876 Å
α = 90.00°, β = 90.00°, γ = 90.00°
Space group Cmcm (No. 63)
One atom of each set of equivalent atoms:
Ba 0.0000 0.2436 0.2500
Er 0.0000 0.0000 0.0000
Au 0.0000 0.4561 0.7500
Se 0.0000 0.0808 0.7500
S 0.0000 0.3703 0.5471


(3)
A relaxed CdCu2GeTe2Se2 crystal. Source: OQMD, functional PBE-GGA.

Computed properties:
Energy above the most stable polymorph in this dataset ... 0.008 eV per atom

a = 8.5307 Å, b = 8.5612 Å, c = 11.6243 Å
α = 90.00°, β = 90.00°, γ = 90.00°
Space group Fmm2 (No. 42)
One atom of each set of equivalent atoms:
Cd 0.0000 0.0000 0.0000
Cu 0.2500 0.2500 0.2699
Ge 0.0000 0.0000 0.5003
Te 0.0000 0.2362 0.6465
Se 0.2313 0.0000 0.3716


(4)
A relaxed LiNb2ZnGa2Os2 crystal. Source: OQMD, functional PBE-GGA.

Computed properties:
Uncorrected energy ... -6.69 eV/atom

a = 4.3812 Å, b = 4.3812 Å, c = 6.2492 Å
α = 90.00°, β = 90.00°, γ = 90.00°
Space group P-4m2 (No. 115)
One atom of each set of equivalent atoms:
Li 0.0000 0.0000 0.0000
Nb 0.0000 0.5000 0.2454
Zn 0.5000 0.5000 0.5000
Ga 0.0000 0.5000 0.7592
Os 0.0000 0.0000 0.5000
Os 0.5000 0.5000 0.0000


(5)
A relaxed AlTlMo4N2 crystal. Source: OQMD, functional PBE-GGA.

Computed properties:
Uncorrected energy ... -8.23 eV/atom

a = 3.0179 Å, b = 3.0179 Å, c = 14.1945 Å
α = 90.00°, β = 90.00°, γ = 120.00°
Space group P-6m2 (No. 187)
One atom of each set of equivalent atoms:
Al 0.0000 0.0000 0.0000
Tl 0.6667 0.3333 0.5000
Mo 0.0000 0.0000 0.3266
Mo 0.6667 0.3333 0.1530
N 0.3333 0.6667 0.2409


(6)
A relaxed ErNi2Ge crystal. Source: OQMD, functional PBE-GGA.

Computed properties:
Uncorrected energy ... -5.54 eV/atom

a = 4.2707 Å, b = 4.5106 Å, c = 6.8949 Å
α = 90.00°, β = 90.00°, γ = 90.00°
Space group Pmc2_1 (No. 26)
One atom of each set of equivalent atoms:
Er 0.0000 0.0618 0.0000
Ni 0.0000 0.4929 0.7435
Ni 0.5000 0.2160 0.6922
Ge 0.5000 0.2978 0.3279


(7)
A relaxed Zn2P2H12O11 crystal. Source: OQMD, functional PBE-GGA.

Computed properties:
Uncorrected energy ... -5.28 eV/atom

a = 7.2979 Å, b = 7.3837 Å, c = 9.2951 Å
α = 91.79°, β = 90.17°, γ = 93.27°
Space group P-1 (No. 2)
One atom of each set of equivalent atoms:
Zn 0.0000 0.0000 0.0000
Zn 0.0043 0.5094 0.2504
Zn 0.5000 0.5000 0.5000
P 0.1304 0.7330 0.4908
P 0.2366 0.3944 0.9845
H 0.0453 0.1250 0.2717
H 0.0453 0.9113 0.2596
H 0.2271 0.9040 0.4911
H 0.2456 0.2483 0.5926
H 0.2492 0.7648 0.9393
H 0.3517 0.9488 0.8922
H 0.3777 0.9581 0.1793
H 0.3890 0.4016 0.2447
H 0.3953 0.6019 0.7636
H 0.4120 0.3242 0.9722
H 0.4348 0.1707 0.6458
H 0.4764 0.1111 0.2776
O 0.0189 0.2625 0.6304
O 0.0459 0.7164 0.6413
O 0.0861 0.2516 0.9467
O 0.0958 0.0230 0.2133
O 0.2268 0.5445 0.8712
O 0.2296 0.4755 0.1393
O 0.2513 0.5800 0.4480
O 0.2695 0.8951 0.9676
O 0.3794 0.2489 0.5742
O 0.4914 0.9872 0.2351
O 0.4974 0.3551 0.2956


(8)
A relaxed Cd4B crystal. Source: OQMD, functional PBE-GGA.

Computed properties:
Uncorrected energy ... -1.61 eV/atom

a = 4.2626 Å, b = 4.2626 Å, c = 10.7783 Å
α = 90.00°, β = 90.00°, γ = 90.00°
Space group P4/nmm (No. 129, origin choice 2)
One atom of each set of equivalent atoms:
Cd 0.2500 0.2500 0.0142
Cd 0.2500 0.7500 0.2272
Cd 0.2500 0.7500 0.5000
B 0.2500 0.2500 0.6442


Number 1: volume 10.52 Å³/atom, ρ 5.09 g/cm3. Number 2: volume 25.70 Å³/atom, ρ 6.94 g/cm3. Number 3: volume 26.53 Å³/atom, ρ 5.67 g/cm3. Number 4: volume 14.99 Å³/atom, ρ 10.77 g/cm3. Number 5: volume 14.00 Å³/atom, ρ 9.54 g/cm3. Number 6: volume 16.60 Å³/atom, ρ 8.93 g/cm3. Number 7: volume 9.26 Å³/atom, ρ 2.53 g/cm3. Number 8: volume 19.58 Å³/atom, ρ 7.81 g/cm3.